Material: In4HIr2
Method: DFT, PBE
State: relaxed

Unit cell a=4.579 b=4.579 c=7.865 alpha=73.07 beta=73.07 gamma=60.00
Atoms (fractional coordinates):
In  0.796  0.796  0.612
In  0.204  0.204  0.388
In  0.615  0.615  0.155
In  0.385  0.385  0.845
Ir  0.079  0.079  0.764
Ir  0.921  0.921  0.236
H  0.000  0.000  0.000

Computed properties:
Raw total energy   -4.629 eV per atom
DOS(E_F)   2.2 states/eV/f.u.
SG   R-3m, No. 166


Material: LaInH8Ir2
Method: DFT, PBE
State: relaxed

Unit cell a=4.876 b=4.876 c=6.690 alpha=68.63 beta=68.63 gamma=60.00
Atoms (fractional coordinates):
H  0.184  0.184  0.447
H  0.111  0.518  0.835
H  0.464  0.889  0.165
H  0.518  0.536  0.835
H  0.536  0.111  0.835
H  0.889  0.482  0.165
H  0.482  0.464  0.165
H  0.816  0.816  0.553
La  0.500  0.500  0.500
Ir  0.727  0.727  0.820
Ir  0.273  0.273  0.180
In  0.000  0.000  0.000

Computed properties:
Raw total energy   -4.420 eV per atom
DOS(E_F)   2.5 states/eV/f.u.
SG   R-3, No. 148


Material: La2InHIr
Method: DFT, PBE
State: relaxed

Unit cell a=5.363 b=5.363 c=3.816 alpha=90.00 beta=90.00 gamma=90.00
Atoms (fractional coordinates):
In  0.500  0.500  0.500
La  0.000  0.500  0.000
La  0.500  0.000  0.000
Ir  0.000  0.000  0.500
H  0.000  0.000  0.000

Computed properties:
Raw total energy   -5.422 eV per atom
DOS(E_F)   2.8 states/eV/f.u.
SG   P4/mmm, No. 123


Material: Li2InHIr
Method: DFT, PBE
State: relaxed

Unit cell a=4.076 b=4.076 c=3.759 alpha=90.00 beta=90.00 gamma=90.00
Atoms (fractional coordinates):
Ir  0.000  0.000  0.500
Li  0.500  0.000  0.000
Li  0.000  0.500  0.000
H  0.000  0.000  0.000
In  0.500  0.500  0.500

Computed properties:
Raw total energy   -4.019 eV per atom
DOS(E_F)   2.7 states/eV/f.u.
SG   P4/mmm, No. 123


Material: LiIn2H6Ir
Method: DFT, PBE
State: relaxed

Unit cell a=5.242 b=5.063 c=5.063 alpha=120.00 beta=90.00 gamma=90.00
Atoms (fractional coordinates):
H  0.181  0.318  0.159
H  0.819  0.682  0.841
H  0.181  0.841  0.682
H  0.181  0.841  0.159
H  0.819  0.159  0.841
H  0.819  0.159  0.318
In  0.717  0.667  0.333
In  0.283  0.333  0.667
Li  0.500  0.000  0.000
Ir  0.000  0.000  0.000

Computed properties:
Raw total energy   -3.717 eV per atom
DOS(E_F)   0.0 states/eV/f.u.
SG   P-3m1, No. 164


Material: Mg2InHIr
Method: DFT, PBE
State: relaxed

Unit cell a=4.526 b=4.526 c=3.655 alpha=90.00 beta=90.00 gamma=90.00
Atoms (fractional coordinates):
Mg  0.000  0.500  0.000
Mg  0.500  0.000  0.000
Ir  0.000  0.000  0.500
In  0.500  0.500  0.500
H  0.000  0.000  0.000

Computed properties:
Relative energy among the computed polymorphs   0.00 eV per formula unit
Raw total energy   -3.829 eV per atom
DOS(E_F)   0.7 states/eV/f.u.
SG   P4/mmm, No. 123


Material: Mg2InHIr
Method: DFT, PBE
State: relaxed

Unit cell a=4.063 b=4.063 c=4.578 alpha=90.00 beta=90.00 gamma=90.00
Atoms (fractional coordinates):
Mg  0.500  0.000  0.000
Mg  0.000  0.500  0.000
Ir  0.500  0.500  0.500
H  0.000  0.000  0.000
In  0.000  0.000  0.500

Computed properties:
Relative energy among the computed polymorphs   0.56 eV per formula unit
Raw total energy   -3.716 eV per atom
DOS(E_F)   1.2 states/eV/f.u.
SG   P4/mmm, No. 123


Material: Na2InH6Ir
Method: DFT, PBE
State: relaxed

Unit cell a=6.615 b=5.179 c=5.179 alpha=120.00 beta=90.00 gamma=90.00
Atoms (fractional coordinates):
Ir  0.000  0.000  0.000
H  0.847  0.699  0.850
H  0.847  0.150  0.850
H  0.153  0.850  0.150
H  0.153  0.301  0.150
H  0.153  0.850  0.699
H  0.847  0.150  0.301
In  0.500  0.000  0.000
Na  0.099  0.333  0.667
Na  0.901  0.667  0.333

Computed properties:
Raw total energy   -3.597 eV per atom
SG   P-3m1, No. 164


Material: NdInH6Ir2
Method: DFT, PBE
State: relaxed

Unit cell a=6.731 b=6.731 c=5.682 alpha=101.20 beta=101.20 gamma=112.45
Atoms (fractional coordinates):
H  0.366  0.510  0.417
H  0.061  0.455  0.135
H  0.790  0.802  0.914
H  0.198  0.210  0.586
H  0.939  0.545  0.865
H  0.455  0.061  0.635
H  0.545  0.939  0.365
H  0.210  0.198  0.086
H  0.510  0.366  0.917
H  0.490  0.634  0.083
H  0.802  0.790  0.414
H  0.634  0.490  0.583
In  0.314  0.686  0.750
In  0.686  0.314  0.250
Nd  0.136  0.864  0.250
Nd  0.864  0.136  0.750
Ir  0.682  0.895  0.156
Ir  0.318  0.105  0.844
Ir  0.895  0.682  0.656
Ir  0.105  0.318  0.344

Computed properties:
Raw total energy   -4.788 eV per atom
DOS(E_F)   1.0 states/eV/f.u.
SG   C2/c, No. 15


Material: NdInH8Ir2
Method: DFT, PBE
State: relaxed

Unit cell a=4.611 b=4.961 c=6.526 alpha=62.53 beta=69.31 gamma=62.31
Atoms (fractional coordinates):
H  0.051  0.093  0.327
H  0.528  0.093  0.327
H  0.577  0.789  0.058
H  0.423  0.211  0.942
H  0.472  0.907  0.673
H  0.949  0.451  0.651
H  0.051  0.549  0.349
H  0.949  0.907  0.673
Ir  0.247  0.351  0.155
Ir  0.753  0.649  0.845
In  0.000  0.000  0.000
Nd  0.500  0.500  0.500

Computed properties:
Raw total energy   -4.532 eV per atom
DOS(E_F)   0.0 states/eV/f.u.
SG   C2/m, No. 12


Material: InNiH6Ir2
Method: DFT, PBE
State: relaxed

Unit cell a=5.597 b=5.597 c=5.637 alpha=96.68 beta=96.68 gamma=98.89
Atoms (fractional coordinates):
Ni  0.587  0.413  0.250
Ni  0.413  0.587  0.750
Ir  0.082  0.332  0.341
Ir  0.332  0.082  0.841
Ir  0.918  0.668  0.659
Ir  0.668  0.918  0.159
H  0.513  0.357  0.922
H  0.572  0.131  0.337
H  0.428  0.869  0.663
H  0.487  0.643  0.078
H  0.869  0.428  0.163
H  0.643  0.487  0.578
H  0.719  0.798  0.419
H  0.357  0.513  0.422
H  0.798  0.719  0.919
H  0.202  0.281  0.081
H  0.281  0.202  0.581
H  0.131  0.572  0.837
In  0.839  0.161  0.750
In  0.161  0.839  0.250

Computed properties:
Raw total energy   -4.535 eV per atom
DOS(E_F)   2.2 states/eV/f.u.
SG   C2/c, No. 15


Material: NpInH8Ir2
Method: DFT, PBE
State: relaxed

Unit cell a=4.002 b=4.002 c=8.469 alpha=76.33 beta=76.33 gamma=60.00
Atoms (fractional coordinates):
H  0.819  0.819  0.544
H  0.675  0.264  0.245
H  0.325  0.736  0.755
H  0.736  0.185  0.755
H  0.185  0.325  0.755
H  0.181  0.181  0.456
H  0.815  0.675  0.245
H  0.264  0.815  0.245
Ir  0.748  0.748  0.755
Ir  0.252  0.252  0.245
Np  0.500  0.500  0.500
In  0.000  0.000  0.000

Computed properties:
Raw total energy   -4.901 eV per atom
DOS(E_F)   11.2 states/eV/f.u.
SG   R-3, No. 148


Copy entry 9 word for word.
Material: NdInH6Ir2
Method: DFT, PBE
State: relaxed

Unit cell a=6.731 b=6.731 c=5.682 alpha=101.20 beta=101.20 gamma=112.45
Atoms (fractional coordinates):
H  0.366  0.510  0.417
H  0.061  0.455  0.135
H  0.790  0.802  0.914
H  0.198  0.210  0.586
H  0.939  0.545  0.865
H  0.455  0.061  0.635
H  0.545  0.939  0.365
H  0.210  0.198  0.086
H  0.510  0.366  0.917
H  0.490  0.634  0.083
H  0.802  0.790  0.414
H  0.634  0.490  0.583
In  0.314  0.686  0.750
In  0.686  0.314  0.250
Nd  0.136  0.864  0.250
Nd  0.864  0.136  0.750
Ir  0.682  0.895  0.156
Ir  0.318  0.105  0.844
Ir  0.895  0.682  0.656
Ir  0.105  0.318  0.344

Computed properties:
Raw total energy   -4.788 eV per atom
DOS(E_F)   1.0 states/eV/f.u.
SG   C2/c, No. 15


Which formula does entry 5 have?
LiIn2H6Ir


What is the raw total energy in the eighth record?
-3.597 eV per atom